## A
4
Lattice="3.6348 0.0000 0.0000 1.8174 3.1478 0.0000 1.8174 1.0493 6.5012" Properties=species:S:1:pos:R:3 comment="PmTlO2 (PBE-GGA, optimized geometry)" n_ef_per_ev_cell=0.00 sg="No. 166" pbc="T T T"
Tl 3.6348 2.0985 3.2506
O 1.8174 1.0493 1.1510
O 5.4522 3.1478 5.3502
Pm 0.0000 0.0000 0.0000

***

## B
4
Lattice="3.6425 0.0000 0.0000 1.8212 3.1545 0.0000 1.8212 1.0515 6.8256" Properties=species:S:1:pos:R:3 comment="PmTlO2 (PBE-GGA, optimized geometry)" n_ef_per_ev_cell=0.00 sg="No. 160" pbc="T T T"
O 1.8212 1.0515 5.4748
O 1.8212 1.0515 0.9497
Pm 3.6425 2.1030 0.0416
Tl 3.6425 2.1030 3.7724

***

List of relative energies, unit kJ/mol of atoms: A 0.0; B 1.0

***

## A
6
Lattice="-1.4945 0.6494 2.9788 3.5441 -4.9748 2.8627 3.6437 5.7122 -1.3524" Properties=species:S:1:pos:R:3 comment="PmTmO (PBE-GGA, optimized geometry)" n_ef_per_ev_cell=4.10 sg="No. 12" pbc="T T T"
O 1.4675 0.5691 2.5473
O 4.2258 0.8178 1.9418
Pm 4.6325 2.6113 3.6899
Pm 1.0608 -1.2245 0.7992
Tm 2.5089 1.7428 0.8788
Tm 3.1844 -0.3560 3.6103

***

## B
3
Lattice="3.5222 0.0000 0.0000 -1.7611 3.0503 0.0000 0.0000 0.0000 5.9345" Properties=species:S:1:pos:R:3 comment="PmTmO (PBE-GGA, optimized geometry)" n_ef_per_ev_cell=1.75 sg="No. 156" pbc="T T T"
O 1.7611 1.0168 2.1501
Pm 0.0000 0.0000 0.5046
Tm 0.0000 2.0335 3.2798

***

List of relative energies, unit kJ/mol of atoms: A 5.6; B 0.0

***

## A
9
Lattice="0.2843 3.9015 -0.0479 -3.8765 0.2349 -3.8776 -2.1986 -1.7269 5.9770" Properties=species:S:1:pos:R:3 comment="Pm2UO6 (PBE-GGA, optimized geometry)" n_ef_per_ev_cell=0.00 sg="No. 71" pbc="T T T"
O -1.6137 2.1266 3.7855
O -3.6534 2.2502 1.7453
O -2.1374 0.1593 0.3063
O -2.8581 2.1325 -3.0250
O -4.1771 0.2829 -1.7340
O -0.7342 2.0038 -0.9005
Pm -3.1151 2.1802 -0.6373
Pm -2.6756 0.2293 2.6888
U 0.0000 0.0000 0.0000

***

## B
18
Lattice="5.9267 0.0000 0.2178 0.0000 5.6532 0.0000 -0.3547 0.0000 9.5735" Properties=species:S:1:pos:R:3 comment="Pm2UO6 (PBE-GGA, optimized geometry)" n_ef_per_ev_cell=0.00 sg="No. 58" pbc="T T T"
Pm 2.8575 0.0018 2.9506
Pm -0.0716 2.8284 1.9451
Pm 2.7144 5.6514 6.8408
Pm 5.6435 2.8248 7.8463
O 4.7861 4.4992 6.5135
O 4.8996 4.5023 3.4280
O 1.6213 4.7176 4.8518
O 3.5718 1.6726 8.1736
O 3.8130 1.6758 1.6856
O 2.0001 3.9805 1.6178
O 0.7859 1.1539 3.2779
O 1.7589 3.9774 8.1058
O 4.4073 3.7622 9.7475
O 1.1647 1.8910 0.0439
O 0.6723 1.1508 6.3634
O 3.9506 0.9356 4.9396
U -0.1774 0.0000 4.7868
U 2.9633 2.8266 0.1089

***

List of relative energies, unit kJ/mol of atoms: A 0.0; B 5.7

***

## A
12
Lattice="5.4591 0.0000 0.0000 0.0000 5.4591 0.0000 -2.7296 -2.7296 5.3936" Properties=species:S:1:pos:R:3 comment="PmUO4 (PBE-GGA, optimized geometry)" n_ef_per_ev_cell=11.97 sg="No. 141" pbc="T T T"
O 1.2602 1.3648 4.0452
O -1.2602 -1.3648 4.0452
O -1.2602 1.3648 4.0452
O 4.0944 1.4694 1.3484
O 1.3648 3.9898 1.3484
O 4.0944 3.9898 1.3484
O 1.3648 1.4694 1.3484
O 1.2602 -1.3648 4.0452
Pm 0.0000 0.0000 0.0000
Pm 2.7296 0.0000 2.6968
U 2.7296 2.7296 0.0000
U 0.0000 2.7296 2.6968

***

## B
6
Lattice="3.7322 0.0000 1.0974 1.7480 3.3404 0.9504 0.0969 0.3432 6.5657" Properties=species:S:1:pos:R:3 comment="PmUO4 (PBE-GGA, optimized geometry)" n_ef_per_ev_cell=4.07 sg="No. 166" pbc="T T T"
O 3.4753 2.1472 1.9711
O 4.8773 3.0709 4.0981
O 0.6998 0.6126 4.5154
O 2.1018 1.5364 6.6424
Pm 2.7885 1.8418 4.3068
U 0.0000 0.0000 0.0000

***

List of relative energies, unit kJ/mol of atoms: A 3.6; B 0.0

***

## A
4
Lattice="3.4970 0.0000 0.0000 1.7485 3.0285 0.0000 1.7485 1.0095 9.4306" Properties=species:S:1:pos:R:3 comment="PmY2O (PBE-GGA, optimized geometry)" n_ef_per_ev_cell=4.43 sg="No. 166" pbc="T T T"
O 3.4970 2.0190 4.7153
Pm 0.0000 0.0000 0.0000
Y 1.7485 1.0095 6.0325
Y 5.2455 3.0285 3.3981

***

## B
4
Lattice="-2.3834 -2.1281 -0.2043 1.5921 -1.5627 -2.2965 3.9610 -5.0282 6.1675" Properties=species:S:1:pos:R:3 comment="PmY2O (PBE-GGA, optimized geometry)" n_ef_per_ev_cell=5.10 sg="No. 123" pbc="T T T"
Y 3.2738 -4.1559 5.0975
Y 0.6872 -0.8723 1.0700
Pm 1.5849 -4.3595 1.8333
O -0.3956 -1.8454 -1.2504

***

List of relative energies, unit kJ/mol of atoms: A 0.0; B 39.7

***

## A
20
Lattice="5.8180 0.0000 0.0482 0.0000 6.1355 0.0000 0.1402 0.0000 8.4234" Properties=species:S:1:pos:R:3 comment="Pm3ZrO6 (PBE-GGA, optimized geometry)" n_ef_per_ev_cell=7.48 sg="No. 14" pbc="T T T"
O 4.0815 0.9953 8.1332
O 4.8559 4.0631 4.5742
O 1.9783 4.8482 3.4938
O 0.8421 0.5131 6.4277
O 2.2772 3.5808 6.2315
O 1.8768 5.1402 0.3384
O 1.0008 1.7805 0.7420
O 4.9574 4.3551 7.7296
O 1.1024 2.0724 3.8974
O 5.1161 5.6224 2.0439
O 3.9800 1.2873 4.9778
O 3.6810 2.5547 2.2401
Pm 3.0168 5.8204 6.5335
Pm 0.0701 0.0000 4.2117
Pm 0.1026 2.7526 6.1256
Pm 2.9415 0.3151 1.9380
Pm 2.9090 3.0678 0.0241
Pm 5.8557 3.3829 2.3459
Zr 2.9791 3.0678 4.2358
Zr 0.0000 0.0000 0.0000

***

## B
20
Lattice="-1.5008 4.5886 -4.8463 -5.9236 -3.2639 -1.0257 -2.8182 3.9381 4.8315" Properties=species:S:1:pos:R:3 comment="Pm3ZrO6 (PBE-GGA, optimized geometry)" n_ef_per_ev_cell=1.26 sg="No. 148" pbc="T T T"
O -4.3110 1.6980 1.2041
O -3.2858 4.7383 2.7553
O -6.9568 0.5245 -3.7958
O -4.4089 0.9523 -1.6039
O -6.9368 1.9716 3.3276
O -3.3057 3.2911 -4.3681
O -4.0261 6.7113 -1.3522
O -5.9315 3.5647 -2.2447
O -3.1950 3.4718 -0.8106
O -6.2164 -1.4485 0.3117
O -5.8336 4.3105 0.5634
O -7.0476 1.7910 -0.2299
Pm -7.7925 3.3476 1.5146
Pm -3.9807 -0.4929 0.3324
Pm -6.2619 5.7557 -1.3729
Pm -7.9777 2.2171 -2.3799
Pm -2.2648 3.0456 1.3394
Pm -2.4500 1.9151 -2.5551
Zr -5.1213 2.6314 -0.5203
Zr 0.0000 0.0000 0.0000

***

List of relative energies, unit kJ/mol of atoms: A 9.0; B 0.0

***

## A
5
Lattice="5.1737 0.0000 0.0000 0.0000 5.1737 0.0000 0.0000 0.0000 5.1737" Properties=species:S:1:pos:R:3 comment="Pr4O (PBE-GGA, optimized geometry)" n_ef_per_ev_cell=4.88 sg="No. 221" pbc="T T T"
Pr 0.0000 2.5868 2.5868
Pr 2.5868 2.5868 0.0000
Pr 0.0000 0.0000 0.0000
Pr 2.5868 0.0000 2.5868
O 2.5868 2.5868 2.5868

***

## B
10
Lattice="-2.9603 3.8702 2.4608 -6.5532 -1.5013 0.5321 -0.8719 -3.0066 9.7339" Properties=species:S:1:pos:R:3 comment="Pr4O (PBE-GGA, optimized geometry)" n_ef_per_ev_cell=10.31 sg="No. 15" pbc="T T T"
Pr -1.6177 0.8319 2.7755
Pr -5.0432 0.7687 4.8084
Pr -2.1379 -1.5213 5.9263
Pr -8.7677 -1.4697 9.9514
Pr -8.2475 0.8835 6.8006
Pr -4.9534 -0.8014 1.3046
Pr -5.4319 0.1637 11.4223
Pr -5.3421 -1.4064 7.9185
O -7.3421 1.0107 4.6691
O -3.0432 -1.6484 8.0578

***

List of relative energies, unit kJ/mol of atoms: A 0.0; B 5.6

***

## A
4
Lattice="3.4322 0.0000 0.0000 0.0000 3.4565 0.0000 0.0000 0.0000 9.7688" Properties=species:S:1:pos:R:3 comment="Pr3O (PBE-GGA, optimized geometry)" n_ef_per_ev_cell=3.70 sg="No. 25" pbc="T T T"
O 0.0000 0.0000 0.4766
Pr 1.7161 1.7283 0.8308
Pr 0.0000 1.7283 4.4975
Pr 1.7161 0.0000 7.2200

***

## B
4
Lattice="3.3535 0.0000 0.0000 0.0000 6.2482 0.0000 -1.6768 -3.1241 5.2105" Properties=species:S:1:pos:R:3 comment="Pr3O (PBE-GGA, optimized geometry)" n_ef_per_ev_cell=3.69 sg="No. 44" pbc="T T T"
Pr 1.6768 2.2439 0.0000
Pr 1.6768 -0.7911 1.6946
Pr 0.0000 2.3330 3.5159
O 0.0000 0.3797 0.0000

***

List of relative energies, unit kJ/mol of atoms: A 0.0; B 5.3

***

## A
3
Lattice="-0.9347 1.3547 3.3634 -1.4869 -2.2726 2.5779 7.2218 -0.6893 -1.8938" Properties=species:S:1:pos:R:3 comment="Pr2O (PBE-GGA, optimized geometry)" n_ef_per_ev_cell=3.80 sg="No. 12" pbc="T T T"
O -1.2108 -0.4590 2.9707
Pr 5.5679 -0.5512 -1.3691
Pr -0.7678 -1.0560 5.4166

***

## B
3
Lattice="-1.1510 -1.7299 2.9796 3.3002 -1.4560 0.4296 1.4034 4.0318 2.8829" Properties=species:S:1:pos:R:3 comment="Pr2O (PBE-GGA, optimized geometry)" n_ef_per_ev_cell=3.63 sg="No. 123" pbc="T T T"
O 1.0746 -1.5929 1.7046
Pr 0.0000 0.0000 0.0000
Pr 1.7763 0.4229 3.1461

***

List of relative energies, unit kJ/mol of atoms: A 12.1; B 0.0

***

## A
6
Lattice="3.9029 0.0000 0.0000 -1.9514 7.1812 1.3015 0.0000 2.2264 6.3873" Properties=species:S:1:pos:R:3 comment="PrPuO (PBE-GGA, optimized geometry)" n_ef_per_ev_cell=19.78 sg="No. 12" pbc="T T T"
O 0.0000 3.5754 3.8042
O 1.9514 5.8322 3.8846
Pu 0.0000 0.5769 1.5473
Pu 1.9514 8.8308 6.1416
Pr 0.0000 5.5469 5.2034
Pr 1.9514 3.8607 2.4855

***

## B
3
Lattice="3.6380 0.0000 0.0000 -1.8190 3.1506 0.0000 0.0000 0.0000 5.9266" Properties=species:S:1:pos:R:3 comment="PrPuO (PBE-GGA, optimized geometry)" n_ef_per_ev_cell=7.29 sg="No. 156" pbc="T T T"
O 0.0000 2.1004 4.1459
Pr 1.8190 1.0502 2.4546
Pu 0.0000 0.0000 5.2527

***

List of relative energies, unit kJ/mol of atoms: A 7.4; B 0.0

***

## A
11
Lattice="-4.8649 -3.5871 -1.2619 1.2214 -5.4310 2.5364 -2.1351 -1.8904 5.4119" Properties=species:S:1:pos:R:3 comment="PrRe2O8 (PBE-GGA, optimized geometry)" n_ef_per_ev_cell=5.33 sg="No. 12" pbc="T T T"
Re -4.0737 -8.3054 5.4714
Re -1.7049 -2.6031 1.2150
O -4.4812 -7.4799 3.9793
O -3.3249 -6.5314 1.1728
O -2.4537 -4.3771 5.5136
O -5.1236 -4.6341 2.7137
O -3.1502 -3.3416 0.4373
O -2.6284 -7.5669 6.2491
O -1.2974 -3.4285 2.7071
O -0.6551 -6.2743 3.9728
Pr 0.0000 0.0000 0.0000

***

## B
11
Lattice="6.3741 0.0000 0.0000 -3.1871 5.5201 0.0000 0.0000 0.0000 6.5818" Properties=species:S:1:pos:R:3 comment="PrRe2O8 (PBE-GGA, optimized geometry)" n_ef_per_ev_cell=5.89 sg="No. 164" pbc="T T T"
O 1.7388 1.0035 2.0070
O -1.4486 4.5160 4.5748
O 0.0004 2.0076 4.5748
O 1.4482 4.5167 4.5748
O 0.0000 3.6801 0.3502
O 3.1871 1.8400 6.2316
O 4.6357 1.0041 2.0070
O 3.1867 3.5125 2.0070
Pr 0.0000 0.0000 3.2909
Re 3.1871 1.8400 1.3886
Re 0.0000 3.6801 5.1933

***

List of relative energies, unit kJ/mol of atoms: A 12.6; B 0.0

***

## A
24
Lattice="5.5292 0.0000 0.0000 0.0000 7.5919 -1.3168 0.0000 -0.2140 7.6181" Properties=species:S:1:pos:R:3 comment="PrRuO4 (PBE-GGA, optimized geometry)" n_ef_per_ev_cell=14.16 sg="No. 14" pbc="T T T"
O 2.7299 2.2740 6.1969
O 2.7993 5.1039 0.1043
O 2.3948 7.0874 4.8097
O 0.3698 7.1944 1.0007
O 5.1594 0.1834 5.3006
O 0.0347 2.3810 2.3879
O 5.4945 4.9969 3.9134
O 4.7031 6.1474 6.1541
O 2.8807 4.5537 4.3247
O 1.9385 1.1234 3.9562
O 3.1344 0.2904 1.4916
O 3.5908 6.2545 2.3451
O 0.1161 2.7171 5.7856
O 5.4131 4.6607 0.5157
O 0.8262 1.2304 0.1471
O 2.6485 2.8241 1.9765
Ru 4.2517 6.3378 0.4683
Ru 1.2775 1.0400 5.8330
Ru 4.0421 6.2308 4.2773
Ru 1.4871 1.1471 2.0239
Pr 1.5587 4.8869 2.2031
Pr 4.3233 2.5979 0.2891
Pr 3.9706 2.4909 4.0981
Pr 1.2060 4.7799 6.0122

***

## B
12
Lattice="5.3509 0.0000 0.0000 0.0000 5.3509 0.0000 -2.6755 -2.6755 5.8803" Properties=species:S:1:pos:R:3 comment="PrRuO4 (PBE-GGA, optimized geometry)" n_ef_per_ev_cell=5.82 sg="No. 88" pbc="T T T"
O 3.4980 1.3084 0.9435
O 1.8529 4.0425 0.9435
O -1.3670 1.8529 3.8837
O 1.3670 3.4980 3.8837
O -1.3670 -0.8226 4.9367
O 0.8226 1.3084 1.9966
O -0.8226 4.0425 1.9966
O 1.3670 0.8226 4.9367
Ru 0.0000 2.6755 2.9401
Ru 2.6755 2.6755 0.0000
Pr 0.0000 0.0000 0.0000
Pr 2.6755 0.0000 2.9401

***

List of relative energies, unit kJ/mol of atoms: A 0.0; B 9.0